Here is a relaxed Mg2AlRe crystal from Alexandria. Energies are from GGA-PBE.

a b c (Å): 5.4826 5.4826 5.4826
angles (deg): 146.91 132.20 59.37
Closest atoms and distances in Å follow each position.
Element x y z (fractional)
1 Mg 0.2438 0.2438 0.0000  4 Mg 2.72, 2 Re 2.80, 2 Al 2.90
2 Mg 0.7562 0.7562 0.0000  4 Mg 2.72, 2 Re 2.80, 2 Al 2.90
3 Al 0.5000 0.0000 0.5000  4 Re 2.72, 4 Mg 2.90
4 Re 0.0000 0.5000 0.5000  4 Al 2.72, 4 Mg 2.80

* D(E_F): 0.543 states/eV/atom
* space group: Immm, No. 71
* DFT total energy: -4.696 eV per atom

***

Here is a relaxed MgAl2Re crystal from Alexandria. Energies are from GGA-PBE.

a b c (Å): 5.0199 5.0199 5.0199
angles (deg): 134.93 134.93 65.64
Closest atoms and distances in Å follow each position.
Element x y z (fractional)
1 Mg 0.0000 0.0000 0.0000  8 Al 2.72-2.85, 4 Re 2.85
2 Al 0.5000 0.5000 0.0000  4 Mg 2.72, 4 Re 2.85, 4 Al 2.85
3 Al 0.7500 0.2500 0.5000  4 Re 2.72, 4 Al 2.85, 4 Mg 2.85
4 Re 0.2500 0.7500 0.5000  8 Al 2.72-2.85, 4 Mg 2.85

* D(E_F): 0.371 states/eV/atom
* space group: I-4m2, No. 119
* DFT total energy: -5.416 eV per atom

***

Here is a relaxed Mg2AlRe crystal from Alexandria. Energies are from GGA-PBE.

a b c (Å): 3.2672 3.2672 6.6562
angles (deg): 90.00 90.00 90.00
Closest atoms and distances in Å follow each position.
Element x y z (fractional)
1 Mg 0.0000 0.0000 0.0000  4 Al 2.94, 1 Re 2.96, 8 Mg 3.09-3.27
2 Mg 0.5000 0.5000 0.3082  1 Al 2.78, 4 Re 2.83, 4 Mg 3.09
3 Al 0.5000 0.5000 0.7256  4 Re 2.57, 1 Mg 2.78
4 Re 0.0000 0.0000 0.5548  4 Al 2.57, 4 Mg 2.83

* D(E_F): 0.751 states/eV/atom
* space group: P4mm, No. 99
* DFT total energy: -4.709 eV per atom

***

Here is a relaxed MgAlRe2Sb crystal from Alexandria. Energies are from GGA-PBE.

a b c (Å): 4.7260 4.7260 4.8117
angles (deg): 90.00 90.00 90.00
Closest atoms and distances in Å follow each position.
Element x y z (fractional)
1 Mg 0.0000 0.0000 0.0000  4 Re 2.36, 2 Sb 2.41
2 Al 0.5000 0.5000 0.5000  4 Sb 3.34, 8 Re 3.37
3 Re 0.0000 0.5000 0.0000  2 Mg 2.36
4 Re 0.5000 0.0000 0.0000  2 Mg 2.36
5 Sb 0.0000 0.0000 0.5000  2 Mg 2.41

* energy relative to the elements, uncorrected: 2.15 eV/atom
* D(E_F): 1.172 states/eV/atom
* space group: P4/mmm, No. 123
* DFT total energy: -4.722 eV per atom

***

Here is a relaxed SrMgAlRe2 crystal from Alexandria. Energies are from GGA-PBE.

a b c (Å): 4.8064 4.8064 4.8506
angles (deg): 90.00 90.00 90.00
Closest atoms and distances in Å follow each position.
Element x y z (fractional)
1 Sr 0.0000 0.0000 0.0000  4 Al 3.40, 8 Re 3.41
2 Mg 0.5000 0.5000 0.5000  4 Re 2.40, 2 Al 2.43
3 Al 0.5000 0.5000 0.0000  2 Mg 2.43
4 Re 0.0000 0.5000 0.5000  2 Mg 2.40
5 Re 0.5000 0.0000 0.5000  2 Mg 2.40

* D(E_F): 1.323 states/eV/atom
* space group: P4/mmm, No. 123
* DFT total energy: -4.711 eV per atom

***

Here is a relaxed MgAlReTc crystal from Alexandria. Energies are from GGA-PBE.

a b c (Å): 4.3873 4.3873 4.3873
angles (deg): 60.00 60.00 60.00
Closest atoms and distances in Å follow each position.
Element x y z (fractional)
1 Mg 0.0000 0.0000 0.0000  4 Al 2.69, 4 Tc 2.69
2 Al 0.7500 0.7500 0.7500  4 Re 2.69, 4 Mg 2.69
3 Re 0.5000 0.5000 0.5000  4 Al 2.69, 4 Tc 2.69
4 Tc 0.2500 0.2500 0.2500  4 Re 2.69, 4 Mg 2.69

* D(E_F): 0.474 states/eV/atom
* space group: F-43m, No. 216
* DFT total energy: -7.125 eV per atom

***

Here is a relaxed MgTiAlRe crystal from Alexandria. Energies are from GGA-PBE.

a b c (Å): 4.4700 4.4700 4.4700
angles (deg): 60.00 60.00 60.00
Closest atoms and distances in Å follow each position.
Element x y z (fractional)
1 Mg 0.0000 0.0000 0.0000  4 Ti 2.74, 4 Al 2.74
2 Ti 0.7500 0.7500 0.7500  4 Re 2.74, 4 Mg 2.74
3 Al 0.2500 0.2500 0.2500  4 Re 2.74, 4 Mg 2.74
4 Re 0.5000 0.5000 0.5000  4 Al 2.74, 4 Ti 2.74

* D(E_F): 0.800 states/eV/atom
* space group: F-43m, No. 216
* DFT total energy: -6.525 eV per atom

***

Here is a relaxed MgAlVRe2 crystal from Alexandria. Energies are from GGA-PBE.

a b c (Å): 4.5206 4.5206 4.4830
angles (deg): 90.00 90.00 90.00
Closest atoms and distances in Å follow each position.
Element x y z (fractional)
1 Mg 0.0000 0.0000 0.0000  8 Re 3.18, 4 V 3.20
2 Al 0.5000 0.5000 0.5000  2 V 2.24, 4 Re 2.26
3 V 0.5000 0.5000 0.0000  2 Al 2.24
4 Re 0.0000 0.5000 0.5000  2 Al 2.26
5 Re 0.5000 0.0000 0.5000  2 Al 2.26

* D(E_F): 1.696 states/eV/atom
* space group: P4/mmm, No. 123
* DFT total energy: -6.434 eV per atom